(1)
Here is an optimized crystal structure of HfZr3Al8 from the Alexandria database. Energies are from PBE-GGA.

Lattice parameters (Å, degrees): 5.2859 5.2859 8.7523 90.00 90.00 120.00
Fractional coordinates of all 12 atoms:
Al 0.3333 0.6667 0.5005
Al 0.3333 0.6667 0.0000
Hf 0.0000 0.0000 0.5656
Zr 0.0000 0.0000 0.9337
Al 0.1625 0.8375 0.2505
Al 0.1625 0.3251 0.2505
Al 0.6749 0.8375 0.2505
Zr 0.6667 0.3333 0.4354
Zr 0.6667 0.3333 0.0653
Al 0.5042 0.0084 0.7494
Al 0.9916 0.4958 0.7494
Al 0.5042 0.4958 0.7494

* SG: P3m1, No. 156
* energy above the lowest structure with this stoichiometry: 0.000 eV per atom
* density of states at the Fermi level: 4.136 states/eV per cell
* E_form: -0.516 eV/atom



(2)
Here is an optimized crystal structure of Hf3Zr2Al from the Alexandria database. Energies are from PBE-GGA.

Lattice parameters (Å, degrees): 4.3770 4.3956 7.0354 108.20 90.00 90.00
Fractional coordinates of all 6 atoms:
Al 0.0000 0.0000 0.0000
Zr 0.0000 0.3379 0.6757
Hf 0.5000 0.8371 0.6741
Zr 0.0000 0.6621 0.3243
Hf 0.5000 0.5000 0.0000
Hf 0.5000 0.1629 0.3259

* SG: Cmmm, No. 65
* density of states at the Fermi level: 5.480 states/eV per cell
* E_form: -0.137 eV/atom



(3)
Here is an optimized crystal structure of Hf2Zr2Al from the Alexandria database. Energies are from PBE-GGA.

Lattice parameters (Å, degrees): 4.0157 4.0157 7.7323 74.95 74.95 90.00
Fractional coordinates of all 5 atoms:
Hf 0.4105 0.4105 0.1791
Hf 0.5895 0.5895 0.8209
Zr 0.7500 0.2500 0.5000
Zr 0.2500 0.7500 0.5000
Al 0.0000 0.0000 0.0000

* SG: I4/mmm, No. 139
* energy above the lowest structure with this stoichiometry: 0.487 eV per atom
* density of states at the Fermi level: 4.023 states/eV per cell
* E_form: 0.515 eV/atom



(4)
Here is an optimized crystal structure of Hf2ZrAl2 from the Alexandria database. Energies are from PBE-GGA.

Lattice parameters (Å, degrees): 4.0048 4.0048 7.0479 73.49 73.49 90.00
Fractional coordinates of all 5 atoms:
Al 0.5940 0.5940 0.8120
Zr 0.0000 0.0000 0.0000
Hf 0.7500 0.2500 0.5000
Hf 0.2500 0.7500 0.5000
Al 0.4060 0.4060 0.1880

* SG: I4/mmm, No. 139
* energy above the lowest structure with this stoichiometry: 0.214 eV per atom
* density of states at the Fermi level: 3.368 states/eV per cell
* E_form: -0.122 eV/atom



no.,DFT total energy (eV/atom),total moment (μB/f.u.)
1,-5.98,0.00
2,-8.59,0.00
3,-7.63,0.00
4,-7.31,0.00